Computed, not measured: LaTb2Y after structural relaxation at the PBE level of DFT. Values from VASP.

Geometry as Quantum ESPRESSO input:
```
&SYSTEM
  ibrav = 0, nat = 4, ntyp = 3
/
ATOMIC_SPECIES
Tb 158.93 Tb.upf
La 138.91 La.upf
Y 88.91 Y.upf
ATOMIC_POSITIONS angstrom
Tb 0.000 2.551 0.000
La 2.564 2.551 2.551
Tb 0.000 0.000 2.551
Y 2.564 0.000 0.000
CELL_PARAMETERS angstrom
5.127 0.000 0.000
0.000 5.103 0.000
0.000 0.000 5.103
```

Computed properties:
SG: No. 123
ΔE to the lowest computed polymorph: 23 meV/atom
ρ: 6.8 g/cm³

=====

Computed, not measured: Pr3NiPb3 after structural relaxation at the PBE level of DFT. Values from VASP.

Geometry as Quantum ESPRESSO input:
```
&SYSTEM
  ibrav = 0, nat = 14, ntyp = 3
/
ATOMIC_SPECIES
Pb 207.20 Pb.upf
Ni 58.69 Ni.upf
Pr 140.91 Pr.upf
ATOMIC_POSITIONS angstrom
Pb 5.670 4.562 9.023
Ni 3.211 5.312 9.793
Pr 4.385 4.325 2.001
Pb 6.320 4.864 4.708
Pb 0.619 1.043 11.446
Pr 3.720 3.908 6.414
Pb 1.269 1.344 7.132
Pb 4.408 1.143 1.848
Pr 3.219 1.998 9.741
Ni 3.728 0.595 6.361
Pr 5.180 4.429 12.276
Pb 2.531 4.763 14.307
Pr 1.759 1.478 3.878
Pr 2.554 1.581 14.154
CELL_PARAMETERS angstrom
4.582 0.000 0.690
2.264 5.877 0.524
0.092 0.029 14.940
```

Computed properties:
SG: No. 12
ρ: 9.1 g/cm³
Electronic total energy: -0.1817 Ha/atom

=====

Computed, not measured: CrCuAs2 after structural relaxation at the PBE level of DFT. Values from VASP.

Geometry as Quantum ESPRESSO input:
```
&SYSTEM
  ibrav = 0, nat = 4, ntyp = 3
/
ATOMIC_SPECIES
Cr 52.00 Cr.upf
As 74.92 As.upf
Cu 63.55 Cu.upf
ATOMIC_POSITIONS angstrom
Cr -0.519 0.659 7.499
As 2.994 2.228 3.864
As -0.291 0.467 4.969
Cu -0.173 0.220 2.500
CELL_PARAMETERS angstrom
-2.716 0.772 2.896
-1.025 -2.149 3.270
3.049 2.256 3.833
```

Computed properties:
SG: No. 12
ρ: 6.7 g/cm³
Electronic total energy: -0.2059 Ha/atom

=====

Computed, not measured: SmGdPuMg after structural relaxation at the PBE level of DFT. Values from VASP.

Geometry as Quantum ESPRESSO input:
```
&SYSTEM
  ibrav = 0, nat = 4, ntyp = 4
/
ATOMIC_SPECIES
Mg 24.30 Mg.upf
Sm 150.36 Sm.upf
Gd 157.25 Gd.upf
Pu 244.00 Pu.upf
ATOMIC_POSITIONS angstrom
Mg 8.244 4.759 3.365
Sm 5.496 3.173 2.244
Gd 0.000 0.000 0.000
Pu 2.748 1.586 1.122
CELL_PARAMETERS angstrom
5.496 0.000 0.000
2.748 4.759 0.000
2.748 1.586 4.487
```

Computed properties:
SG: No. 216
ρ: 8.1 g/cm³
Electronic total energy: -0.3138 Ha/atom

=====

Computed, not measured: Ho5HgRh4 after structural relaxation at the PBE level of DFT. Values from VASP.

Geometry as Quantum ESPRESSO input:
```
&SYSTEM
  ibrav = 0, nat = 10, ntyp = 3
/
ATOMIC_SPECIES
Rh 102.91 Rh.upf
Ho 164.93 Ho.upf
Hg 200.59 Hg.upf
ATOMIC_POSITIONS angstrom
Rh 1.635 -2.887 1.693
Ho 7.331 -13.032 4.891
Ho 4.382 -7.825 1.839
Ho 1.433 -2.618 -1.214
Ho 2.901 -5.210 0.306
Rh 6.113 -10.792 6.327
Ho 5.863 -10.440 3.372
Rh 3.132 -5.529 3.242
Rh 4.616 -8.150 4.778
Hg 0.000 0.000 0.000
CELL_PARAMETERS angstrom
-1.623 -2.169 -2.132
2.638 0.199 -2.210
7.748 -13.680 8.020
```

Computed properties:
SG: No. 123
ρ: 11.4 g/cm³
Electronic total energy: -0.2236 Ha/atom

=====

Computed, not measured: In2GaCuP after structural relaxation at the PBE level of DFT. Values from VASP.

Geometry as Quantum ESPRESSO input:
```
&SYSTEM
  ibrav = 0, nat = 5, ntyp = 4
/
ATOMIC_SPECIES
In 114.82 In.upf
Cu 63.55 Cu.upf
Ga 69.72 Ga.upf
P 30.97 P.upf
ATOMIC_POSITIONS angstrom
In 2.663 0.000 0.000
Cu 2.663 2.321 2.663
In 0.000 0.000 2.663
Ga 0.000 0.000 0.000
P 0.000 2.321 0.000
CELL_PARAMETERS angstrom
5.326 0.000 0.000
0.000 4.641 0.000
0.000 0.000 5.326
```

Computed properties:
SG: No. 123
ρ: 5.0 g/cm³
Electronic total energy: -0.1059 Ha/atom

=====

Computed, not measured: SrAg2Sb after structural relaxation at the PBE level of DFT. Values from VASP.

Geometry as Quantum ESPRESSO input:
```
&SYSTEM
  ibrav = 0, nat = 4, ntyp = 3
/
ATOMIC_SPECIES
Sb 121.76 Sb.upf
Ag 107.87 Ag.upf
Sr 87.62 Sr.upf
ATOMIC_POSITIONS angstrom
Sb 0.848 -0.678 3.055
Ag -0.886 1.464 2.519
Ag -0.367 -0.388 0.517
Sr -0.532 0.358 6.020
CELL_PARAMETERS angstrom
-2.158 4.034 1.494
-2.544 -2.450 2.941
3.358 0.264 4.138
```

Computed properties:
SG: No. 6
ρ: 6.0 g/cm³
Electronic total energy: -0.1162 Ha/atom

=====

Computed, not measured: Re2PCl after structural relaxation at the PBE level of DFT. Values from VASP.

Geometry as Quantum ESPRESSO input:
```
&SYSTEM
  ibrav = 0, nat = 4, ntyp = 3
/
ATOMIC_SPECIES
Re 186.21 Re.upf
Cl 35.45 Cl.upf
P 30.97 P.upf
ATOMIC_POSITIONS angstrom
Re 0.000 0.463 3.741
Cl 1.763 0.479 1.619
P 1.763 1.436 4.857
Re 0.000 -0.584 5.985
CELL_PARAMETERS angstrom
3.526 0.000 0.000
0.000 2.994 -0.012
0.000 -1.079 6.488
```

Computed properties:
SG: No. 10
ΔE to the lowest computed polymorph: 502 meV/atom
ρ: 10.6 g/cm³